[1]
Material: ZnIr2
Method: DFT, SCAN
State: PBEsol geometry

```
ZnIr2
1.0
2.7196 0.0000 0.0000
-1.3598 2.3552 0.0000
0.0000 0.0000 6.4877
Zn Ir
1 2
Cartesian
0.0000 0.0000 0.0000 Zn
0.0000 1.5702 4.3316 Ir
1.3598 0.7851 2.1561 Ir
```

Electronic total energy   -51.99 eV per atom
DFT formation energy   -0.082 eV per atom
M_tot   0.00 μB/cell
Theoretical density   17.98 Mg/m³

[2]
Material: ZnIr2
Method: DFT, SCAN
State: PBEsol geometry

```
ZnIr2
1.0
4.9088 -1.3630 0.0000
4.9088 1.3630 0.0000
-1.4885 0.0000 6.2150
Zn Ir
2 4
Cartesian
0.0000 0.0000 0.0000 Zn
6.0639 0.0000 2.1001 Zn
2.6216 0.0000 0.3460 Ir
2.3378 0.0000 4.1905 Ir
4.9722 0.0000 4.4797 Ir
8.6928 0.0000 2.3950 Ir
```

Electronic total energy   -52.02 eV per atom
DFT formation energy   -0.115 eV per atom
M_tot   0.00 μB/cell
Theoretical density   17.96 Mg/m³

[3]
Material: ZnIr3
Method: DFT, SCAN
State: PBEsol geometry

```
ZnIr3
1.0
4.4524 -1.3619 0.0000
4.4524 1.3619 0.0000
-0.7600 0.0000 4.5859
Zn Ir
1 3
Cartesian
0.0000 0.0000 0.0000 Zn
1.6213 0.0000 3.4256 Ir
4.0724 0.0000 2.2929 Ir
6.5235 0.0000 1.1602 Ir
```

Electronic total energy   -56.79 eV per atom
DFT formation energy   -0.082 eV per atom
M_tot   0.00 μB/cell
Theoretical density   19.17 Mg/m³

[4]
Material: ZnIr
Method: DFT, SCAN
State: PBEsol geometry

```
ZnIr
1.0
2.7551 0.0000 0.0000
-1.3775 2.3860 0.0000
0.0000 0.0000 4.1690
Zn Ir
1 1
Cartesian
0.0000 0.0000 0.0000 Zn
1.3775 0.7953 2.0845 Ir
```

Electronic total energy   -42.51 eV per atom
DFT formation energy   -0.204 eV per atom
M_tot   0.00 μB/cell
Theoretical density   15.61 Mg/m³

[5]
Material: Zn3Ir
Method: DFT, SCAN
State: PBEsol geometry

```
Zn3Ir
1.0
4.1595 2.4015 0.9199
-4.1595 2.4015 0.9199
0.0000 -4.8030 0.9199
Zn Ir
3 1
Cartesian
-2.0797 -1.2007 0.9199 Zn
-2.0797 1.2007 1.8399 Zn
0.0000 2.4015 0.9199 Zn
0.0000 0.0000 0.0000 Ir
```

Electronic total energy   -27.99 eV per atom
DFT formation energy   -0.079 eV per atom
M_tot   0.00 μB/cell
Theoretical density   11.70 Mg/m³

[6]
Material: Zn5Ir
Method: DFT, SCAN
State: PBEsol geometry

```
Zn5Ir
1.0
4.7873 0.0000 0.0000
-2.3937 4.1459 0.0000
0.0000 0.0000 4.2274
Zn Ir
5 1
Cartesian
-1.1968 2.0730 0.0000 Zn
0.0000 2.7640 2.1137 Zn
2.3937 0.0000 0.0000 Zn
1.1968 2.0730 0.0000 Zn
2.3937 1.3820 2.1137 Zn
0.0000 0.0000 2.1137 Ir
```

Electronic total energy   -22.95 eV per atom
DFT formation energy   0.165 eV per atom
M_tot   0.00 μB/cell
Theoretical density   10.28 Mg/m³

[7]
Material: Zn3Ir
Method: DFT, SCAN
State: PBEsol geometry

```
Zn3Ir
1.0
2.8536 0.0000 0.0000
0.0000 3.6678 0.0000
0.0000 0.0000 5.2563
Zn Ir
3 1
Cartesian
0.0000 0.0000 0.0000 Zn
1.4268 1.8339 1.3652 Zn
1.4268 1.8339 3.8911 Zn
0.0000 0.0000 2.6282 Ir
```

Electronic total energy   -28.05 eV per atom
DFT formation energy   -0.138 eV per atom
M_tot   0.00 μB/cell
Theoretical density   11.72 Mg/m³

[8]
Material: Zn3Ir
Method: DFT, SCAN
State: PBEsol geometry

```
Zn3Ir
1.0
2.8717 0.0000 0.0000
0.0000 4.2342 0.0000
0.0000 0.0000 4.4800
Zn Ir
3 1
Cartesian
0.0000 0.0000 0.0000 Zn
0.0000 2.1171 1.6108 Zn
1.4359 2.1171 3.8165 Zn
1.4359 0.0000 2.2556 Ir
```

Electronic total energy   -28.09 eV per atom
DFT formation energy   -0.179 eV per atom
M_tot   0.00 μB/cell
Theoretical density   11.84 Mg/m³

What did the eighth record say?
Material: Zn3Ir
Method: DFT, SCAN
State: PBEsol geometry

```
Zn3Ir
1.0
2.8717 0.0000 0.0000
0.0000 4.2342 0.0000
0.0000 0.0000 4.4800
Zn Ir
3 1
Cartesian
0.0000 0.0000 0.0000 Zn
0.0000 2.1171 1.6108 Zn
1.4359 2.1171 3.8165 Zn
1.4359 0.0000 2.2556 Ir
```

Electronic total energy   -28.09 eV per atom
DFT formation energy   -0.179 eV per atom
M_tot   0.00 μB/cell
Theoretical density   11.84 Mg/m³

Copy entry 7 word for word.
Material: Zn3Ir
Method: DFT, SCAN
State: PBEsol geometry

```
Zn3Ir
1.0
2.8536 0.0000 0.0000
0.0000 3.6678 0.0000
0.0000 0.0000 5.2563
Zn Ir
3 1
Cartesian
0.0000 0.0000 0.0000 Zn
1.4268 1.8339 1.3652 Zn
1.4268 1.8339 3.8911 Zn
0.0000 0.0000 2.6282 Ir
```

Electronic total energy   -28.05 eV per atom
DFT formation energy   -0.138 eV per atom
M_tot   0.00 μB/cell
Theoretical density   11.72 Mg/m³

Q: Among the records above, which one has the highest theoretical density?
A: ZnIr3

Q: Among the records above, which one has the highest theoretical density?
A: ZnIr3